--- 1 ---
Compound: Te2HSe
Source: Alexandria
Functional: PBE-GGA
Structure: optimized geometry

As for the volume: 23.34 A^3/atom. The symmetry is I-42d (122).

Cell lengths 6.3875, 6.3875, 6.4297 Å; angles 60.22, 60.22, 90.00 degrees
Atoms (fractional coordinates):
H1 0.5000 0.5000 0.0000
H2 0.2500 0.7500 0.5000
Te1 0.5405 0.1250 0.2500
Te2 0.2095 0.6250 0.2500
Te3 0.3750 0.4595 0.7500
Te4 0.8750 0.7905 0.7500
Se1 0.0000 0.0000 0.0000
Se2 0.7500 0.2500 0.5000

--- 2 ---
Compound: Te2HSe
Source: Alexandria
Functional: PBE-GGA
Structure: optimized geometry

As for the volume: 24.70 A^3/atom. The symmetry is R-3m (166).

Cell lengths 8.3460, 8.3460, 8.3460 Å; angles 26.05, 26.05, 26.05 degrees
Atoms (fractional coordinates):
H1 0.0000 0.0000 0.0000
Te1 0.0818 0.0818 0.0818
Te2 0.9182 0.9182 0.9182
Se1 0.5000 0.5000 0.5000

Relative calculated energies, zero for the most stable structure, unit meV/atom: 1 105; 2 0.

--- 1 ---
Compound: TeH2Se
Source: Alexandria
Functional: PBE-GGA
Structure: optimized geometry

As for the volume: 16.38 A^3/atom. The symmetry is I4_1/amd (141).

Cell lengths 5.6979, 5.6979, 5.7037 Å; angles 60.03, 60.03, 90.00 degrees
Atoms (fractional coordinates):
H1 0.3750 0.1250 0.2500
H2 0.3750 0.6250 0.2500
H3 0.3750 0.6250 0.7500
H4 0.8750 0.6250 0.7500
Te1 0.0000 0.0000 0.0000
Te2 0.7500 0.2500 0.5000
Se1 0.5000 0.5000 0.0000
Se2 0.2500 0.7500 0.5000

--- 2 ---
Compound: TeH2Se
Source: Alexandria
Functional: PBE-GGA
Structure: optimized geometry

As for the volume: 21.88 A^3/atom. The symmetry is P2/c (13).

Cell lengths 4.0949, 7.3717, 11.5983 Å; angles 89.96, 90.00, 90.00 degrees
Atoms (fractional coordinates):
Te1 0.2471 0.0000 0.4141
Te2 0.7529 0.0000 0.5859
Te3 0.2471 0.5000 0.0859
Te4 0.7529 0.5000 0.9141
H1 0.0101 0.1463 0.8631
H2 0.9899 0.8537 0.1369
H3 0.0101 0.3537 0.6369
H4 0.9899 0.6463 0.3631
H5 0.9893 0.1471 0.1370
H6 0.0107 0.8529 0.8630
H7 0.9893 0.3529 0.3630
H8 0.0107 0.6471 0.6370
Se1 0.2521 0.5002 0.6647
Se2 0.7479 0.4998 0.3353
Se3 0.2521 0.9998 0.8353
Se4 0.7479 0.0002 0.1647

Relative calculated energies, zero for the most stable structure, unit meV/atom: 1 287; 2 0.

--- 1 ---
Compound: TeH2Se
Source: Alexandria
Functional: PBE-GGA
Structure: optimized geometry

As for the volume: 13.16 A^3/atom. The symmetry is Fm-3m (225).

Cell lengths 4.2064, 4.2064, 4.2064 Å; angles 60.00, 60.00, 60.00 degrees
Atoms (fractional coordinates):
H1 0.2500 0.2500 0.2500
H2 0.7500 0.7500 0.7500
Te1 0.5000 0.5000 0.5000
Se1 0.0000 0.0000 0.0000

--- 2 ---
Compound: TeH2Se
Source: Alexandria
Functional: PBE-GGA
Structure: optimized geometry

As for the volume: 24.37 A^3/atom. The symmetry is P2_1/m (11).

Cell lengths 9.0733, 3.4554, 6.3053 Å; angles 90.00, 90.00, 99.55 degrees
Atoms (fractional coordinates):
Te1 0.0065 0.0034 0.2500
Te2 0.9935 0.9966 0.7500
H1 0.5676 0.2710 0.6904
H2 0.4324 0.7290 0.1904
H3 0.4324 0.7290 0.3096
H4 0.5676 0.2710 0.8096
Se1 0.7814 0.4048 0.2500
Se2 0.2186 0.5952 0.7500

Relative calculated energies, zero for the most stable structure, unit meV/atom: 1 743; 2 0.